Record 1
## NiP (PBE)

Data for crystalline NiP at its relaxed geometry.

The structure in POSCAR format:
```
NiP
1.0
3.127 0.000 0.000
0.000 3.432 0.021
0.000 0.823 4.560
Ni P
2 2
direct
0.750 0.818 0.198
0.250 0.182 0.802
0.750 0.695 0.706
0.250 0.305 0.294
```

Summary:
Energy of formation: -216 meV/atom
Space-group type: No. 11
Spin magnetization: 0.00 μB/f.u.

Record 2
## K2TeAuS4 (PBE)

Data for crystalline K2TeAuS4 at its relaxed geometry.

The structure in POSCAR format:
```
K2TeAuS4
1.0
5.874 0.000 0.000
2.937 7.404 0.000
2.937 0.000 10.555
K Te Au S
4 2 2 8
direct
0.181 0.000 0.638
0.819 0.000 0.362
0.569 0.500 0.862
0.931 0.500 0.138
0.250 0.500 0.500
0.500 0.000 0.000
0.750 0.500 0.500
0.000 0.000 0.000
0.295 0.775 0.125
0.194 0.225 0.875
0.931 0.775 0.875
0.580 0.225 0.125
0.455 0.725 0.375
0.556 0.275 0.625
0.819 0.725 0.625
0.170 0.275 0.375
```

Summary:
Space-group type: No. 70
Spin magnetization: 0.00 μB/f.u.
Raw formation energy: -0.288 eV/atom

Record 3
## Ho6As2P3S (PBE)

Data for crystalline Ho6As2P3S at its relaxed geometry.

The structure in POSCAR format:
```
Ho6As2P3S
1.0
-2.960 2.527 0.971
-5.010 -6.212 0.896
4.927 -0.289 7.483
Ho As P S
6 2 3 1
direct
0.332 0.921 0.664
0.665 0.587 0.330
0.668 0.079 0.336
0.998 0.255 0.996
0.002 0.745 0.004
0.335 0.413 0.670
0.834 0.669 0.669
0.166 0.331 0.331
0.500 0.500 0.000
0.834 0.166 0.668
0.166 0.834 0.332
0.500 0.000 0.000
```

Summary:
Space-group type: No. 12
Spin magnetization: 0.00 μB/f.u.
Raw formation energy: -1.686 eV/atom

Record 4
## ZnCu15Au4 (PBE)

Data for crystalline ZnCu15Au4 at its relaxed geometry.

The structure in POSCAR format:
```
ZnCu15Au4
1.0
3.753 0.000 0.000
0.000 3.753 0.000
0.000 0.000 18.926
Zn Cu Au
1 15 4
direct
0.000 0.000 0.000
0.500 0.500 0.000
0.500 0.500 0.195
0.500 0.500 0.398
0.500 0.500 0.602
0.500 0.500 0.805
0.500 0.000 0.095
0.500 0.000 0.298
0.500 0.000 0.500
0.500 0.000 0.702
0.500 0.000 0.905
0.000 0.500 0.095
0.000 0.500 0.298
0.000 0.500 0.500
0.000 0.500 0.702
0.000 0.500 0.905
0.000 0.000 0.197
0.000 0.000 0.399
0.000 0.000 0.601
0.000 0.000 0.803
```

Summary:
Energy of formation: -29 meV/atom
Space-group type: No. 123
Spin magnetization: 0.00 μB/f.u.

Record 5
## YInAu2 (PBE)

Data for crystalline YInAu2 at its relaxed geometry.

The structure in POSCAR format:
```
YInAu2
1.0
-5.503 0.444 -0.379
-2.085 -3.858 -3.375
3.165 0.183 4.536
Au In Y
2 1 1
direct
0.991 0.991 0.000
0.746 0.246 0.500
0.515 0.515 0.000
0.248 0.748 0.500
```

Summary:
Energy of formation: -529 meV/atom
Space-group type: No. 44
Spin magnetization: 0.00 μB/f.u.

Record 6
## Dy4N3 (PBE)

Data for crystalline Dy4N3 at its relaxed geometry.

The structure in POSCAR format:
```
Dy4N3
1.0
-3.045 -1.335 3.613
0.451 -4.697 -1.357
3.825 -0.510 3.036
Dy N
4 3
direct
0.000 0.000 0.000
0.000 0.500 0.500
0.500 0.000 0.500
0.500 0.500 0.000
0.000 0.500 0.000
0.000 0.000 0.500
0.500 0.000 0.000
```

Summary:
Space-group type: No. 221
Spin magnetization: 0.00 μB/f.u.
Raw formation energy: -1.394 eV/atom

Record 7
## KLiCr2 (PBE)

Data for crystalline KLiCr2 at its relaxed geometry.

The structure in POSCAR format:
```
KLiCr2
1.0
-3.827 -4.582 2.773
2.108 -6.233 0.200
0.474 6.343 1.694
Cr K Li
2 1 1
direct
0.997 0.997 0.000
0.219 0.719 0.500
0.502 0.502 0.000
0.782 0.282 0.500
```

Summary:
Energy of formation: 1119 meV/atom
Space-group type: No. 44
Polymorph energy (0 for the lowest one): 504 meV per atom
Spin magnetization: 9.51 μB/f.u.

Record 8
## Tl4GeAu5 (PBE)

Data for crystalline Tl4GeAu5 at its relaxed geometry.

The structure in POSCAR format:
```
Tl4GeAu5
1.0
4.707 0.000 1.670
2.354 6.872 0.835
0.056 0.000 7.311
Tl Ge Au
4 1 5
direct
0.773 0.692 0.692
0.465 0.308 0.692
0.465 0.692 0.308
0.156 0.308 0.308
0.143 0.000 0.000
0.148 0.628 0.000
0.148 0.000 0.628
0.775 0.000 0.372
0.775 0.372 0.000
0.642 0.000 0.000
```

Summary:
Energy of formation: -11 meV/atom
Space-group type: No. 107
Spin magnetization: 0.00 μB/f.u.

Fermi-level density of states readings, ordered: 2.0, 3.7, 1.8, 9.0, 1.8, 2.6, 2.1, 2.5 states/eV per cell